Entry from Alexandria via LeMat-Bulk: a relaxed Tm5Ga2Sn crystal (PBE).

Lattice parameters (Å, degrees): 8.7015 8.7015 8.7015 127.03 127.03 78.20
Positions (direct):
Tm  0.0000  0.0000  0.0000
Tm  0.0156  0.5156  0.8205
Tm  0.1951  0.0156  0.5000
Tm  0.3049  0.8049  0.8205
Tm  0.4844  0.3049  0.5000
Tm  0.5000  0.5000  0.0000
Tm  0.5156  0.6951  0.5000
Tm  0.6951  0.1951  0.1795
Tm  0.8049  0.9844  0.5000
Tm  0.9844  0.4844  0.1795
Ga  0.1323  0.3677  0.5000
Ga  0.3677  0.8677  0.2355
Ga  0.6323  0.1323  0.7645
Ga  0.8677  0.6323  0.5000
Sn  0.2500  0.2500  0.0000
Sn  0.7500  0.7500  0.0000

Values from the calculation:
Raw total energy   -74.1 eV for the cell shown

***

Entry from Alexandria via LeMat-Bulk: a relaxed LiTc2Ru crystal (PBE).

Lattice parameters (Å, degrees): 2.6424 2.6424 9.2606 90.00 90.00 115.41
Positions (direct):
Li  0.0000  0.0000  0.0000
Tc  0.5000  0.5000  0.2575
Tc  0.5000  0.5000  0.7425
Ru  0.0000  0.0000  0.5000

Values from the calculation:
Polymorph energy (0 for the lowest one)   0.160 eV per atom

***

Entry from Alexandria via LeMat-Bulk: a relaxed Sm3Ho2Pb4 crystal (PBE).

Lattice parameters (Å, degrees): 9.0783 9.0783 9.0783 146.62 137.25 55.30
Positions (direct):
Sm  0.0000  0.0000  0.0000
Sm  0.3840  0.8840  0.5000
Sm  0.6160  0.1160  0.5000
Ho  0.1621  0.6621  0.5000
Ho  0.8379  0.3379  0.5000
Pb  0.2527  0.2527  0.0000
Pb  0.2774  0.5000  0.7774
Pb  0.7226  0.5000  0.2226
Pb  0.7473  0.7473  0.0000

Values from the calculation:
Raw total energy   -42.0 eV for the cell shown

***

Entry from Alexandria via LeMat-Bulk: a relaxed K5P crystal (PBE).

Lattice parameters (Å, degrees): 8.0804 8.0804 11.3025 117.74 117.74 31.00
Positions (direct):
K  0.0000  0.0000  0.0000
K  0.0451  0.0451  0.3437
K  0.2590  0.2590  0.1432
K  0.3045  0.3045  0.4874
K  0.6528  0.6528  0.7427
P  0.6523  0.6523  0.2438

Values from the calculation:
Polymorph energy (0 for the lowest one)   0.000 eV per atom

***

Entry from Alexandria via LeMat-Bulk: a relaxed TaNbCrFe crystal (PBE).

Lattice parameters (Å, degrees): 3.0850 3.0850 6.1361 90.00 90.00 90.00
Positions (direct):
Ta  0.0000  0.0000  0.0000
Nb  0.0000  0.0000  0.5017
Cr  0.5000  0.5000  0.7505
Fe  0.5000  0.5000  0.2482

Values from the calculation:
Raw total energy   -40.3 eV for the cell shown

***

Entry from Alexandria via LeMat-Bulk: a relaxed CeMg6Ir2 crystal (PBE).

Lattice parameters (Å, degrees): 6.8991 6.8991 4.7892 110.20 110.20 78.60
Positions (direct):
Ce  0.0000  0.0000  0.0000
Mg  0.1208  0.4495  0.7851
Mg  0.3309  0.6691  0.5000
Mg  0.4495  0.1208  0.7851
Mg  0.5505  0.8792  0.2149
Mg  0.6691  0.3309  0.5000
Mg  0.8792  0.5505  0.2149
Ir  0.2619  0.2619  0.2619
Ir  0.7381  0.7381  0.7381

Values from the calculation:
Raw total energy   -36.0 eV for the cell shown

***

Copy entry 5 word for word.
Entry from Alexandria via LeMat-Bulk: a relaxed TaNbCrFe crystal (PBE).

Lattice parameters (Å, degrees): 3.0850 3.0850 6.1361 90.00 90.00 90.00
Positions (direct):
Ta  0.0000  0.0000  0.0000
Nb  0.0000  0.0000  0.5017
Cr  0.5000  0.5000  0.7505
Fe  0.5000  0.5000  0.2482

Values from the calculation:
Raw total energy   -40.3 eV for the cell shown

***

- Number 6 is which compound?
  CeMg6Ir2